(1)
Computed, not measured: a geometry-optimized SrLaSc2 structure at the PBE level of DFT.

## Properties
polymorph energy (0 for the lowest one) = 57.1 kJ/mol of formula units
space group = No. 119

Lattice parameters (Å, degrees): 6.0964 6.0964 6.0964 129.69 129.69 73.91
Fractional coordinates of all 4 atoms:
1 Sr 0.0000 0.0000 0.0000
2 La 0.2500 0.7500 0.5000
3 Sc 0.5000 0.5000 0.0000
4 Sc 0.7500 0.2500 0.5000

---

(2)
Computed, not measured: a geometry-optimized SrLaSc2 structure at the PBE level of DFT.

## Properties
polymorph energy (0 for the lowest one) = 43.5 kJ/mol of formula units
space group = No. 65

Lattice parameters (Å, degrees): 6.0484 6.0484 3.6845 90.00 90.00 104.61
Fractional coordinates of all 4 atoms:
1 Sr 0.0000 0.0000 0.0000
2 La 0.5000 0.5000 0.0000
3 Sc 0.0000 0.5000 0.5000
4 Sc 0.5000 0.0000 0.5000

---

Energy of formation from the pure elements for the records above, in order: 0.300 0.265 eV per atom